# 1
YTl2P PBE relaxed; energy of formation = -1.41 eV/f.u.; energy above the lowest structure with this stoichiometry = 0.648 eV/f.u.
1.0
0.0000 2.9864 5.9596
2.9603 0.0000 5.9596
2.9603 2.9864 0.0000
Y Tl P
1 2 1
direct
0.0000 0.0000 0.0000 Y
0.0000 0.5000 0.5000 Tl
0.5000 0.0000 0.0000 Tl
0.5000 0.5000 0.5000 P

---

# 2
Nd8Tm3Mg PBE relaxed; energy of formation = 6.43 eV/f.u.
1.0
-4.3383 4.3383 5.7991
4.3383 -4.3383 5.7991
4.3383 4.3383 -5.7991
Nd Tm Mg
8 3 1
direct
0.1255 0.1255 0.7442 Nd
0.2384 0.7311 0.0000 Nd
0.2689 0.2689 0.5073 Nd
0.3813 0.3813 0.2558 Nd
0.6187 0.8745 0.0000 Nd
0.7311 0.2384 0.0000 Nd
0.7616 0.7616 0.4927 Nd
0.8745 0.6187 0.0000 Nd
0.2500 0.7500 0.5000 Tm
0.5000 0.5000 0.0000 Tm
0.7500 0.2500 0.5000 Tm
0.0000 0.0000 0.0000 Mg

---

# 3
TcSI2N PBE relaxed; energy above the lowest structure with this stoichiometry = 3.443 eV/f.u.; raw formation energy = 6.780 eV/f.u.
1.0
5.9764 0.0000 0.0000
0.0000 5.9764 0.0000
0.0000 0.0000 3.3956
Tc S I N
1 1 2 1
direct
0.0000 0.0000 0.0000 Tc
0.5000 0.5000 0.5000 S
0.0000 0.5000 0.5000 I
0.5000 0.0000 0.5000 I
0.5000 0.5000 0.0000 N

---

# 4
SiRh3Br PBE relaxed; energy above the lowest structure with this stoichiometry = 3.293 eV/f.u.; raw formation energy = 5.863 eV/f.u.
1.0
4.6087 0.0000 0.0000
0.0000 4.6087 0.0000
0.0000 0.0000 4.6087
Si Rh Br
1 3 1
direct
0.0000 0.0000 0.0000 Si
0.0000 0.5000 0.5000 Rh
0.5000 0.0000 0.5000 Rh
0.5000 0.5000 0.0000 Rh
0.5000 0.5000 0.5000 Br

---

# 5
Na2CoPt PBE relaxed; energy of formation = 1.68 eV/f.u.; energy above the lowest structure with this stoichiometry = 0.000 eV/f.u.
1.0
-1.8619 1.8619 10.2814
1.8619 -1.8619 10.2814
1.8619 1.8619 -10.2814
Na Co Pt
4 2 2
direct
0.1247 0.6250 0.9997 Na
0.3750 0.3747 0.4997 Na
0.6253 0.1250 0.0003 Na
0.8750 0.8753 0.5003 Na
0.0000 0.0000 0.0000 Co
0.7500 0.2500 0.5000 Co
0.2500 0.7500 0.5000 Pt
0.5000 0.5000 0.0000 Pt

---

# 6
LiScNbFe2 PBE relaxed; energy of formation = 4.97 eV/f.u.
1.0
4.1461 0.0000 0.0000
0.0000 4.1461 0.0000
0.0000 0.0000 4.2729
Li Sc Nb Fe
1 1 1 2
direct
0.0000 0.0000 0.0000 Li
0.5000 0.5000 0.5000 Sc
0.0000 0.0000 0.5000 Nb
0.0000 0.5000 0.0000 Fe
0.5000 0.0000 0.0000 Fe

---

# 7
Ac6Ga2Ag PBE relaxed; energy of formation = -1.73 eV/f.u.; energy above the lowest structure with this stoichiometry = 0.489 eV/f.u.
1.0
7.1427 0.0000 0.0000
0.0000 8.8062 0.0000
-6.5702 0.0000 10.5473
Ac Ga Ag
12 4 2
direct
0.0760 0.0491 0.2295 Ac
0.0760 0.4509 0.7295 Ac
0.1956 0.6900 0.0711 Ac
0.1956 0.8100 0.5711 Ac
0.4180 0.1626 0.0639 Ac
0.4180 0.3374 0.5639 Ac
0.5820 0.6626 0.4361 Ac
0.5820 0.8374 0.9361 Ac
0.8044 0.1900 0.4289 Ac
0.8044 0.3100 0.9289 Ac
0.9240 0.5491 0.2705 Ac
0.9240 0.9509 0.7705 Ac
0.3140 0.1237 0.7466 Ga
0.3140 0.3763 0.2466 Ga
0.6860 0.6237 0.7534 Ga
0.6860 0.8763 0.2534 Ga
0.5000 0.0000 0.5000 Ag
0.5000 0.5000 0.0000 Ag

---

# 8
Cs2In2Au3 PBE relaxed; energy of formation = -1.61 eV/f.u.; energy above the lowest structure with this stoichiometry = 0.361 eV/f.u.
1.0
7.0310 -2.3353 0.0000
7.0310 2.3353 0.0000
-5.0159 0.0000 7.1208
Cs In Au
2 2 3
direct
0.1325 0.1325 0.2512 Cs
0.8675 0.8675 0.7488 Cs
0.1316 0.1316 0.7081 In
0.8684 0.8684 0.2918 In
0.3373 0.3373 0.0844 Au
0.5000 0.5000 0.5000 Au
0.6627 0.6627 0.9156 Au